## Ag3BrF2 (PBE-GGA)

Data for Ag3BrF2 after structural relaxation.

Unit cell a=5.342 b=10.688 c=3.881 alpha=90.00 beta=90.00 gamma=90.00
Sites, in units of the cell vectors:
Ag  0.250  0.050  0.198
Ag  0.250  0.450  0.198
Ag  0.250  0.750  0.137
Ag  0.750  0.250  0.863
Ag  0.750  0.550  0.802
Ag  0.750  0.950  0.802
Br  0.250  0.250  0.773
Br  0.750  0.750  0.227
F  0.250  0.586  0.661
F  0.250  0.914  0.661
F  0.750  0.086  0.339
F  0.750  0.414  0.339

Calculated values
formation energy (no corrections): -0.751 eV/atom
density of states at the Fermi level: 0.02 states/eV per atom
E: -3.08 eV per atom
SG: Pmmn (59)

***

## CaLa2Pt (PBE-GGA)

Data for CaLa2Pt after structural relaxation.

Unit cell a=5.333 b=5.333 c=5.333 alpha=60.00 beta=60.00 gamma=60.00
Sites, in units of the cell vectors:
Ca  0.000  0.000  0.000
La  0.250  0.250  0.250
La  0.500  0.500  0.500
Pt  0.750  0.750  0.750

Calculated values
formation enthalpy at 0 K: -5.49 kcal/mol of atoms
density of states at the Fermi level: 1.04 states/eV per atom
E: -4.71 eV per atom
SG: F-43m (216)
excess energy over the best structure of this formula in the dataset: 0.3479 eV per atom

***

- What is the formula in the second record?
  CaLa2Pt

***

- Among the records above, which one has the highest density of states at the Fermi level?
  CaLa2Pt

***

- Which formula does entry 2 have?
  CaLa2Pt